The following is a PBE with a Hubbard U calculation of a relaxed NiRhO2 crystal, from the Alexandria database.

Computed properties:
crystal system	tetragonal
space-group type	I-42d (122)
raw total energy	-19.42	eV per formula unit
DOS at the Fermi energy	1.3153	states/eV per atom

Cell lengths 6.2573, 6.2573, 6.2573 Å; angles 142.08, 142.08, 54.71 degrees
Element x y z (fractional)
Ni 0.0000 0.0000 0.0000
Ni 0.7500 0.2500 0.5000
Rh 0.2500 0.7500 0.5000
Rh 0.5000 0.5000 0.0000
O 0.1107 0.6250 0.9857
O 0.3750 0.3607 0.4857
O 0.6393 0.1250 0.0143
O 0.8750 0.8893 0.5143